Record 1
Below is a geometry-optimized Er2MnTe4 structure, with properties calculated at the GGA-PBE level.

Output
- symmetry = I4_1/amd, No. 141
- N(E_F) (states/eV per cell) = 0.30
- VASP energy (eV per atom) = -5.419
- volume (Å³/atom) = 33.95

a b c (Å): 8.7592 8.7592 8.7638
angles (deg): 59.97 59.97 89.95
Each line ends with the local moment (μB).
Atoms (fractional coordinates):
Er (0.5000, 0.5000, 0.5000)  0.08
Er (0.5000, 0.0000, 0.5000)  0.08
Er (0.0000, 0.0000, 0.0000)  0.08
Er (0.5000, 0.0000, 0.0000)  0.08
Mn (0.8749, 0.6251, 0.7500)  4.22
Mn (0.1251, 0.3749, 0.2500)  4.22
Te (0.2528, 0.7579, 0.9946)  0.02
Te (0.7472, 0.2421, 0.0054)  0.02
Te (0.2579, 0.7528, 0.4946)  0.02
Te (0.2527, 0.2476, 0.5053)  0.02
Te (0.2524, 0.2473, 0.9947)  0.02
Te (0.7473, 0.7524, 0.4947)  0.02
Te (0.7421, 0.2472, 0.5054)  0.02
Te (0.7476, 0.7527, 0.0053)  0.02


Record 2
Below is a geometry-optimized SrCa2TlHg4 structure, with properties calculated at the GGA-PBE level.

Output
- symmetry = R-3m, No. 166
- N(E_F) (states/eV per cell) = 4.24
- ΔE_f (eV per atom) = -0.434
- VASP energy (eV per atom) = -1.592
- volume (Å³/atom) = 28.47

a b c (Å): 5.3749 5.3749 9.6190
angles (deg): 73.78 73.78 60.00
Atoms (fractional coordinates):
Sr (0.0000, 0.0000, 0.0000)
Ca (0.7588, 0.7588, 0.7235)
Ca (0.2412, 0.2412, 0.2765)
Tl (0.5000, 0.5000, 0.5000)
Hg (0.3744, 0.3744, 0.8769)
Hg (0.8784, 0.8784, 0.3647)
Hg (0.1216, 0.1216, 0.6353)
Hg (0.6256, 0.6256, 0.1231)


Record 3
Below is a geometry-optimized MgGa2PdPb structure, with properties calculated at the GGA-PBE level.

Output
- symmetry = P4/mmm, No. 123
- offset from the most stable computed form (meV/atom) = 0
- N(E_F) (states/eV per cell) = 2.28
- ΔE_f (eV per atom) = -0.003
- VASP energy (eV per atom) = -3.313
- volume (Å³/atom) = 26.06

a b c (Å): 4.7959 5.6654 4.7959
angles (deg): 90.00 90.00 90.00
Atoms (fractional coordinates):
Pb (0.0000, 0.5000, 0.0000)
Mg (0.5000, 0.5000, 0.5000)
Ga (0.0000, 0.0000, 0.5000)
Ga (0.5000, 0.0000, 0.0000)
Pd (0.0000, 0.0000, 0.0000)


Record 4
Below is a geometry-optimized Sc2VIn structure, with properties calculated at the GGA-PBE level.

Output
- symmetry = I-42d, No. 122
- N(E_F) (states/eV per cell) = 8.31
- ΔE_f (eV per atom) = 0.360
- VASP energy (eV per atom) = -5.770
- volume (Å³/atom) = 21.86

a b c (Å): 7.7242 7.7242 6.1983
angles (deg): 51.46 51.46 90.00
Each line ends with the local moment (μB).
Atoms (fractional coordinates):
Sc (0.6034, 0.1250, 0.2500)  -0.14
Sc (0.1466, 0.6250, 0.2500)  -0.14
Sc (0.3750, 0.3966, 0.7500)  -0.14
Sc (0.8750, 0.8534, 0.7500)  -0.14
In (0.0000, 0.0000, 0.0000)  -0.06
In (0.7500, 0.2500, 0.5000)  -0.06
V (0.5000, 0.5000, 0.0000)  2.10
V (0.2500, 0.7500, 0.5000)  2.10